7
Lattice="-2.5357 4.0265 -2.6397 -4.1161 -0.2653 3.5493 -0.4918 6.0231 4.0512" Properties=species:S:1:pos:R:3 comment="NbHg4O2 | the Alexandria database | PBE | relaxed" total_magnetization_mub_per_cell=0.39 dft_energy_ev_per_atom=-2.3584 pbc="T T T"
Nb 0.0000 0.0000 0.0000
Hg -5.3860 5.6114 2.5159
Hg -1.7576 4.1729 2.4449
Hg -2.0581 -0.1327 1.7747
Hg -1.2679 2.0132 -1.3198
O -4.4339 7.0030 3.7241
O -2.7097 2.7813 1.2368

***

5
Lattice="-3.2125 2.4043 1.5878 -2.1128 -0.3487 -3.7465 -1.9591 -3.5665 1.4367" Properties=species:S:1:pos:R:3 comment="Nb3HgO | the Alexandria database | PBE | relaxed" total_magnetization_mub_per_cell=0.00 dft_energy_ev_per_atom=-7.6538 polymorph_energy_ev_per_atom=0.000 pbc="T T T"
Nb -1.0564 -0.1743 -1.8733
Nb -0.9795 -1.7832 0.7183
Nb -1.6062 1.2021 0.7939
Hg -3.6422 -0.7554 -0.3610
O 0.0000 0.0000 0.0000

***

30
Lattice="-3.2346 4.2686 -2.7568 -5.6858 1.0247 1.6161 8.3783 10.1970 8.7903" Properties=species:S:1:pos:R:3 comment="Nb2Hg4O9 | the Alexandria database | PBE | relaxed" total_magnetization_mub_per_cell=0.00 dft_energy_ev_per_atom=-5.6844 pbc="T T T"
Nb -0.4062 7.7687 0.4527
Nb -7.5393 6.7384 0.1729
Nb -0.1358 7.7216 7.1969
Nb 6.9973 8.7519 7.4767
Hg 5.3943 11.7843 8.3907
Hg 0.9071 6.6576 3.6739
Hg -5.9363 3.7060 -0.7412
Hg -1.1409 3.7796 1.4777
Hg -1.4491 8.8327 3.9757
Hg -3.4725 6.4589 1.9811
Hg 2.9305 9.0314 5.6685
Hg 0.5988 11.7108 6.1719
O 5.0776 8.2411 6.9059
O 1.3484 9.8268 6.7948
O -1.8919 11.9731 5.7476
O -5.6196 7.2492 0.7437
O -1.8904 5.6635 0.8548
O 1.3499 3.5172 1.9020
O 0.9241 6.6333 1.6113
O -1.4114 8.4994 1.9527
O -1.8320 5.8894 4.2236
O -7.2433 4.8052 0.4120
O -4.0938 2.6002 1.0172
O -0.4930 1.7157 1.4027
O -1.4661 8.8570 6.0382
O 0.8694 6.9909 5.6969
O 1.2900 9.6009 3.4260
O 6.7012 10.6851 7.2376
O 3.5518 12.8901 6.6323
O -0.0491 13.7746 6.2468